First-principles (PBE) data for LiHg2Rh after structural relaxation, as listed in Alexandria.

## Properties
As for the crystal system: orthorhombic. Its formation energy is 128 kJ/mol of formula units.

Lattice parameters (Å, degrees): 2.8304 5.2211 11.3767 90.00 90.00 90.00
Closest atoms and distances in Å follow each position.
Space group Immm (No. 71)
One atom of each set of equivalent atoms:
Li 0.0000 0.0000 0.0000 [2 per cell]  2 Li 2.83, 4 Rh 2.97, 2 Hg 2.98
Hg 0.0000 0.0000 0.2619 [4 per cell]  1 Rh 2.71, 6 Hg 2.83-2.98, 1 Li 2.98
Rh 0.0000 0.0000 0.5000 [2 per cell]  2 Hg 2.71, 2 Rh 2.83, 4 Li 2.97

First-principles (PBE) data for Tb3PrNi8 after structural relaxation, as listed in Alexandria.

## Properties
As for the crystal system: trigonal. Its formation energy is -455 kJ/mol of formula units.

Lattice parameters (Å, degrees): 5.1037 5.1037 25.0837 90.00 90.00 120.00
Closest atoms and distances in Å follow each position.
Space group R3m (No. 160, hexagonal axes)
One atom of each set of equivalent atoms:
Tb 0.0000 0.0000 0.0000 [3 per cell]  12 Ni 2.99-3.05, 1 Tb 3.12, 3 Pr 3.14
Tb 0.0000 0.0000 0.1244 [3 per cell]  12 Ni 2.97-2.99, 4 Tb 3.12
Tb 0.0000 0.0000 0.4987 [3 per cell]  12 Ni 2.96-2.99, 3 Tb 3.12, 1 Pr 3.14
Pr 0.0000 0.0000 0.6240 [3 per cell]  12 Ni 3.00-3.03, 4 Tb 3.14
Ni 0.0000 0.0000 0.3121 [3 per cell]  6 Ni 2.57-2.59
Ni 0.0000 0.0000 0.8116 [3 per cell]  6 Ni 2.53-2.54
Ni 0.9996 0.4998 0.5604 [9 per cell]  6 Ni 2.53-2.59
Ni 0.0026 0.5013 0.0628 [9 per cell]  6 Ni 2.53-2.57

First-principles (PBE) data for PuTl3Sb2S6 after structural relaxation, as listed in Alexandria.

## Properties
As for the crystal system: monoclinic. The formation energy without anion corrections is -7.2 eV per formula unit.

Lattice parameters (Å, degrees): 7.0737 12.2470 7.7769 90.00 107.61 90.00
Closest atoms and distances in Å follow each position.
Space group C2/m (No. 12)
One atom of each set of equivalent atoms:
Pu 0.0000 0.0000 0.0000 [2 per cell]  6 S 2.79
Tl 0.0000 0.1667 0.5000 [4 per cell]  6 S 3.23-3.25
Tl 0.0000 0.5000 0.5000 [2 per cell]  6 S 3.24
Sb 0.0000 0.3336 0.0000 [4 per cell]  6 S 2.78-2.79
S 0.2322 0.5000 0.1996 [4 per cell]  2 Sb 2.78, 1 Pu 2.79
S 0.2340 0.1670 0.2006 [8 per cell]  2 Sb 2.78-2.79, 1 Pu 2.79

| no. | volume (A^3/atom) | VASP energy (eV per atom) |
| --- | --- | --- |
| 1 | 21.015 | -2.135 |
| 2 | 15.717 | -5.803 |
| 3 | 26.756 | -5.135 |